Entry 1:
Density functional theory data (PBE) for a relaxed structure of GeBOs.

## Properties
crystal system: orthorhombic
symmetry: Pmm2
distance to the lowest polymorph of the same formula: 0.1021 eV/atom

Unit cell a=2.9271 b=2.8951 c=4.5381 alpha=90.00 beta=90.00 gamma=90.00
Sites, in units of the cell vectors:
Ge 0.0000 0.5000 0.4107
B 0.5000 0.5000 0.7718
Os 0.0000 0.0000 0.9444



Entry 2:
Density functional theory data (PBE) for a relaxed structure of GeBOs.

## Properties
crystal system: monoclinic
symmetry: C2/m
distance to the lowest polymorph of the same formula: 0.1131 eV/atom

Unit cell a=4.8669 b=2.9672 c=12.5346 alpha=90.00 beta=110.48 gamma=90.00
Sites, in units of the cell vectors:
Ge 0.2787 0.5000 0.7577
Ge 0.2787 0.0000 0.2577
Os 0.8209 0.5000 0.5778
Ge 0.7213 0.0000 0.7423
Ge 0.7213 0.5000 0.2423
B 0.0000 0.5000 0.0000
B 0.5000 0.0000 0.5000
B 0.5000 0.5000 0.0000
Os 0.1791 0.5000 0.4222
B 0.0000 0.0000 0.5000
Os 0.1791 0.0000 0.9222
Os 0.8209 0.0000 0.0778



Entry 3:
Density functional theory data (PBE) for a relaxed structure of GeBOs.

## Properties
crystal system: triclinic
symmetry: P-1
distance to the lowest polymorph of the same formula: 0.0074 eV/atom

Unit cell a=4.0101 b=4.1829 c=5.2026 alpha=79.10 beta=83.38 gamma=76.01
Sites, in units of the cell vectors:
Os 0.1890 0.6757 0.1179
Ge 0.6874 0.7362 0.4608
Ge 0.3126 0.2638 0.5392
B 0.6792 0.8223 0.9958
B 0.3208 0.1777 0.0042
Os 0.8110 0.3243 0.8821



Entry 4:
Density functional theory data (PBE) for a relaxed structure of GeBOs3.

## Properties
crystal system: cubic
symmetry: Pm-3m
distance to the lowest polymorph of the same formula: 2.2092 eV/atom

Unit cell a=4.5090 b=4.5090 c=4.5090 alpha=90.00 beta=90.00 gamma=90.00
Last column: magnetic moment on the atom in μB.
Sites, in units of the cell vectors:
Os 0.5000 0.0000 0.0000  0.70
Os 0.0000 0.5000 0.0000  0.62
B 0.5000 0.5000 0.5000  0.10
Os 0.0000 0.0000 0.5000  0.73
Ge 0.0000 0.0000 0.0000  -0.01



Entry 5:
Density functional theory data (PBE) for a relaxed structure of GeBOs.

## Properties
crystal system: monoclinic
symmetry: C2
distance to the lowest polymorph of the same formula: 0.0022 eV/atom

Unit cell a=4.8179 b=5.2848 c=6.5415 alpha=90.00 beta=90.17 gamma=90.00
Sites, in units of the cell vectors:
Os 0.1042 0.3274 0.7058
B 0.0000 0.5062 0.0000
B 0.0000 0.6648 0.5000
B 0.0000 0.0062 0.5000
Ge 0.5992 0.9570 0.1954
Os 0.1042 0.8274 0.2058
Os 0.8958 0.8274 0.7942
Ge 0.4008 0.9570 0.8046
Ge 0.5992 0.4570 0.6954
Ge 0.4008 0.4570 0.3046
Os 0.8958 0.3274 0.2942
B 0.0000 0.1648 0.0000



Entry 6:
Density functional theory data (PBE) for a relaxed structure of GeBOs.

## Properties
crystal system: triclinic
symmetry: P-1
distance to the lowest polymorph of the same formula: 0.0000 eV/atom

Unit cell a=4.0371 b=4.2339 c=5.4467 alpha=68.11 beta=74.82 gamma=75.20
Sites, in units of the cell vectors:
Ge 0.1797 0.2500 0.4420
Os 0.2344 0.7498 0.8903
Os 0.7656 0.2502 0.1097
B 0.6762 0.8261 0.0070
Ge 0.8203 0.7500 0.5580
B 0.3238 0.1739 0.9930



Entry 7:
Density functional theory data (PBE) for a relaxed structure of GeBOs.

## Properties
crystal system: monoclinic
symmetry: P2_1
distance to the lowest polymorph of the same formula: 0.0910 eV/atom

Unit cell a=2.9408 b=4.9801 c=5.4378 alpha=90.00 beta=103.73 gamma=90.00
Sites, in units of the cell vectors:
Ge 0.8046 0.4699 0.6113
B 0.0549 0.2967 0.1267
Os 0.5793 0.6233 0.1470
Ge 0.1954 0.9699 0.3887
B 0.9451 0.7967 0.8733
Os 0.4207 0.1233 0.8530



Entry 8:
Density functional theory data (PBE) for a relaxed structure of GeBOs.

## Properties
crystal system: orthorhombic
symmetry: Pmm2
distance to the lowest polymorph of the same formula: 0.0420 eV/atom

Unit cell a=2.9308 b=5.7297 c=4.5986 alpha=90.00 beta=90.00 gamma=90.00
Sites, in units of the cell vectors:
B 0.5000 0.0000 0.6655
Ge 0.5000 0.0000 0.2191
Os 0.0000 0.2468 0.8632
Ge 0.0000 0.5000 0.3337
B 0.5000 0.5000 0.6845
Os 0.0000 0.7532 0.8632



Entry 9:
Density functional theory data (PBE) for a relaxed structure of GeBOs.

## Properties
crystal system: monoclinic
symmetry: P2_1/m
distance to the lowest polymorph of the same formula: 0.0295 eV/atom

Unit cell a=4.3083 b=3.0965 c=5.7480 alpha=90.00 beta=99.26 gamma=90.00
Sites, in units of the cell vectors:
Ge 0.2646 0.2500 0.5534
B 0.3689 0.2500 0.9717
Os 0.1800 0.7500 0.1827
Os 0.8200 0.2500 0.8173
B 0.6311 0.7500 0.0283
Ge 0.7354 0.7500 0.4466



Entry 10:
Density functional theory data (PBE) for a relaxed structure of GeBOs.

## Properties
crystal system: orthorhombic
symmetry: Amm2
distance to the lowest polymorph of the same formula: 0.0632 eV/atom

Unit cell a=4.6092 b=2.9839 c=11.1016 alpha=90.00 beta=90.00 gamma=90.00
Sites, in units of the cell vectors:
Ge 0.5000 0.5000 0.4119
B 0.3136 0.0000 0.5886
Ge 0.5000 0.0000 0.9119
Ge 0.0000 0.0000 0.3233
B 0.6864 0.0000 0.5886
Os 0.5000 0.5000 0.7134
B 0.6864 0.5000 0.0886
Os 0.5000 0.0000 0.2134
Ge 0.0000 0.5000 0.8233
Os 0.0000 0.0000 0.0244
B 0.3136 0.5000 0.0886
Os 0.0000 0.5000 0.5244



Entry 11:
Density functional theory data (PBE) for a relaxed structure of GeBOs.

## Properties
crystal system: monoclinic
symmetry: Cm
distance to the lowest polymorph of the same formula: 0.0855 eV/atom

Unit cell a=7.4982 b=3.0242 c=8.8359 alpha=90.00 beta=123.77 gamma=90.00
Sites, in units of the cell vectors:
Ge 0.6133 0.0000 0.2637
Ge 0.6133 0.5000 0.7637
B 0.2917 0.5000 0.3068
Ge 0.1158 0.0000 0.3905
Os 0.9700 0.5000 0.0903
Ge 0.1158 0.5000 0.8905
Os 0.5185 0.0000 0.4948
B 0.7708 0.5000 0.5649
Os 0.9700 0.0000 0.5903
Os 0.5185 0.5000 0.9948
B 0.2917 0.0000 0.8068
B 0.7708 0.0000 0.0649



Entry 12:
Density functional theory data (PBE) for a relaxed structure of PrGe2BOs2.

## Properties
crystal system: tetragonal
symmetry: P4/mmm
calculated total energy: -45.27 eV/cell

Unit cell a=4.2176 b=4.2176 c=5.5916 alpha=90.00 beta=90.00 gamma=90.00
Sites, in units of the cell vectors:
Os 0.5000 0.0000 0.0000
Pr 0.0000 0.0000 0.5000
B 0.0000 0.0000 0.0000
Ge 0.5000 0.5000 0.7246
Os 0.0000 0.5000 0.0000
Ge 0.5000 0.5000 0.2754